Pr5Hg2Ir: relaxed, PBE.

Cell lengths 7.217, 7.217, 12.994 Å; angles 90.00, 90.00, 130.75 degrees
Fractional positions:
Pr 0.074 0.926 0.605
Pr 0.074 0.926 0.895
Pr 0.372 0.628 0.577
Pr 0.372 0.628 0.923
Pr 0.379 0.621 0.250
Pr 0.621 0.379 0.750
Pr 0.628 0.372 0.077
Pr 0.628 0.372 0.423
Pr 0.926 0.074 0.105
Pr 0.926 0.074 0.395
Hg 0.178 0.822 0.125
Hg 0.178 0.822 0.375
Hg 0.822 0.178 0.625
Hg 0.822 0.178 0.875
Ir 0.227 0.773 0.750
Ir 0.773 0.227 0.250

* crystal system: orthorhombic
* magnetization: 0.01 μB/f.u.
* energy above the most stable polymorph in this dataset: 0.2622 eV/atom

Pr11Hg9Ir4: relaxed, PBE.

Cell lengths 13.420, 13.420, 3.852 Å; angles 90.00, 90.00, 112.60 degrees
Fractional positions:
Pr 0.000 0.000 0.000
Pr 0.081 0.416 0.000
Pr 0.166 0.834 0.000
Pr 0.305 0.305 0.000
Pr 0.373 0.627 0.000
Pr 0.416 0.081 0.000
Pr 0.584 0.919 0.000
Pr 0.627 0.373 0.000
Pr 0.695 0.695 0.000
Pr 0.834 0.166 0.000
Pr 0.919 0.584 0.000
Hg 0.066 0.212 0.500
Hg 0.155 0.633 0.500
Hg 0.212 0.066 0.500
Hg 0.367 0.845 0.500
Hg 0.500 0.500 0.500
Hg 0.633 0.155 0.500
Hg 0.788 0.934 0.500
Hg 0.845 0.367 0.500
Hg 0.934 0.788 0.500
Ir 0.250 0.451 0.500
Ir 0.451 0.250 0.500
Ir 0.549 0.750 0.500
Ir 0.750 0.549 0.500

* crystal system: orthorhombic
* magnetization: 0.44 μB/f.u.

Pr8Hg2Ir3: relaxed, PBE.

Cell lengths 9.057, 5.111, 9.064 Å; angles 90.00, 110.65, 90.00 degrees
Fractional positions:
Pr 0.114 0.000 0.386
Pr 0.141 0.500 0.869
Pr 0.370 0.500 0.641
Pr 0.385 0.000 0.114
Pr 0.615 0.000 0.886
Pr 0.630 0.500 0.359
Pr 0.859 0.500 0.131
Pr 0.886 0.000 0.614
Hg 0.242 0.500 0.257
Hg 0.758 0.500 0.743
Ir 0.240 0.000 0.740
Ir 0.500 0.500 0.000
Ir 0.760 0.000 0.260

* crystal system: monoclinic
* magnetization: 0.00 μB/f.u.

PrHgIr: relaxed, PBE.

Cell lengths 8.852, 8.852, 4.154 Å; angles 90.00, 90.00, 153.24 degrees
Fractional positions:
Pr 0.099 0.901 0.750
Pr 0.901 0.099 0.250
Hg 0.294 0.706 0.750
Hg 0.706 0.294 0.250
Ir 0.457 0.543 0.750
Ir 0.543 0.457 0.250

* crystal system: orthorhombic
* magnetization: 0.00 μB/f.u.

Pr8Hg2Ir: relaxed, PBE.

Cell lengths 9.072, 9.072, 9.072 Å; angles 147.93, 120.88, 68.86 degrees
Fractional positions:
Pr 0.114 0.345 0.770
Pr 0.118 0.118 0.000
Pr 0.332 0.000 0.332
Pr 0.425 0.655 0.770
Pr 0.575 0.345 0.230
Pr 0.668 0.000 0.668
Pr 0.882 0.882 0.000
Pr 0.886 0.655 0.230
Hg 0.300 0.800 0.500
Hg 0.700 0.200 0.500
Ir 0.000 0.500 0.500

* crystal system: orthorhombic
* magnetization: 0.00 μB/f.u.
* energy above the most stable polymorph in this dataset: 0.1102 eV/atom

Pr6HgIr: relaxed, PBE.

Cell lengths 7.071, 7.092, 7.871 Å; angles 90.17, 116.44, 119.89 degrees
Fractional positions:
Pr 0.033 0.081 0.253
Pr 0.300 0.719 0.252
Pr 0.325 0.546 0.748
Pr 0.675 0.454 0.252
Pr 0.700 0.281 0.748
Pr 0.967 0.919 0.747
Hg 0.500 0.000 0.000
Ir 0.500 0.500 0.500

* crystal system: triclinic
* magnetization: 0.00 μB/f.u.

Pr5Hg4Ir: relaxed, PBE.

Cell lengths 3.762, 3.762, 19.522 Å; angles 90.00, 90.00, 90.00 degrees
Fractional positions:
Pr 0.000 0.000 0.000
Pr 0.000 0.000 0.206
Pr 0.000 0.000 0.416
Pr 0.000 0.000 0.584
Pr 0.000 0.000 0.794
Hg 0.500 0.500 0.103
Hg 0.500 0.500 0.306
Hg 0.500 0.500 0.694
Hg 0.500 0.500 0.897
Ir 0.500 0.500 0.500

* crystal system: tetragonal
* magnetization: 0.82 μB/f.u.

Pr12Hg5Ir2: relaxed, PBE.

Cell lengths 9.360, 9.360, 9.388 Å; angles 106.80, 106.80, 51.91 degrees
Fractional positions:
Pr 0.022 0.022 0.323
Pr 0.070 0.584 0.318
Pr 0.078 0.677 0.939
Pr 0.323 0.922 0.061
Pr 0.416 0.930 0.682
Pr 0.424 0.424 0.655
Pr 0.576 0.576 0.345
Pr 0.584 0.070 0.318
Pr 0.677 0.078 0.939
Pr 0.922 0.323 0.061
Pr 0.930 0.416 0.682
Pr 0.978 0.978 0.677
Hg 0.219 0.219 0.427
Hg 0.269 0.269 0.980
Hg 0.500 0.500 0.000
Hg 0.731 0.731 0.020
Hg 0.781 0.781 0.573
Ir 0.273 0.727 0.500
Ir 0.727 0.273 0.500

* crystal system: monoclinic
* magnetization: 0.00 μB/f.u.

Pr4HgIr2: relaxed, PBE.

Cell lengths 7.232, 7.283, 8.772 Å; angles 108.02, 107.80, 104.83 degrees
Fractional positions:
Pr 0.000 0.000 0.000
Pr 0.020 0.520 0.041
Pr 0.156 0.312 0.473
Pr 0.432 0.268 0.883
Pr 0.545 0.854 0.598
Pr 0.570 0.905 0.158
Pr 0.702 0.358 0.567
Pr 0.968 0.776 0.443
Hg 0.217 0.723 0.782
Hg 0.455 0.462 0.258
Ir 0.278 0.971 0.332
Ir 0.620 0.629 0.838
Ir 0.802 0.311 0.202
Ir 0.967 0.159 0.709

* crystal system: triclinic
* magnetization: 0.00 μB/f.u.

Pr5Hg2Ir: relaxed, PBE.

Cell lengths 8.136, 12.240, 4.876 Å; angles 90.00, 90.00, 90.00 degrees
Fractional positions:
Pr 0.000 0.000 0.000
Pr 0.146 0.296 0.000
Pr 0.181 0.575 0.500
Pr 0.319 0.075 0.500
Pr 0.354 0.796 0.000
Pr 0.500 0.500 0.000
Pr 0.646 0.204 0.000
Pr 0.681 0.925 0.500
Pr 0.819 0.425 0.500
Pr 0.854 0.704 0.000
Hg 0.070 0.833 0.500
Hg 0.430 0.333 0.500
Hg 0.570 0.667 0.500
Hg 0.930 0.167 0.500
Ir 0.000 0.500 0.000
Ir 0.500 0.000 0.000

* crystal system: orthorhombic
* magnetization: 0.00 μB/f.u.
* energy above the most stable polymorph in this dataset: 0.0000 eV/atom

Pr4Hg3Ir: relaxed, PBE.

Cell lengths 3.738, 3.738, 15.652 Å; angles 90.00, 90.00, 90.00 degrees
Fractional positions:
Pr 0.000 0.000 0.106
Pr 0.000 0.000 0.371
Pr 0.000 0.000 0.629
Pr 0.000 0.000 0.894
Hg 0.500 0.500 0.245
Hg 0.500 0.500 0.500
Hg 0.500 0.500 0.755
Ir 0.500 0.500 0.000

* crystal system: tetragonal
* magnetization: 0.44 μB/f.u.

PrHgIr: relaxed, PBE.

Cell lengths 8.149, 8.149, 5.065 Å; angles 90.00, 90.00, 155.56 degrees
Fractional positions:
Pr 0.087 0.913 0.750
Pr 0.913 0.087 0.250
Hg 0.219 0.781 0.250
Hg 0.781 0.219 0.750
Ir 0.434 0.566 0.750
Ir 0.566 0.434 0.250

* crystal system: orthorhombic
* magnetization: 0.00 μB/f.u.

Pr8Hg2Ir: relaxed, PBE.

Cell lengths 9.686, 9.686, 7.100 Å; angles 100.87, 100.87, 31.77 degrees
Fractional positions:
Pr 0.022 0.022 0.281
Pr 0.202 0.202 0.814
Pr 0.348 0.348 0.536
Pr 0.412 0.412 0.064
Pr 0.588 0.588 0.936
Pr 0.652 0.652 0.464
Pr 0.798 0.798 0.186
Pr 0.978 0.978 0.719
Hg 0.190 0.190 0.241
Hg 0.810 0.810 0.759
Ir 0.500 0.500 0.500

* crystal system: monoclinic
* magnetization: 0.00 μB/f.u.
* energy above the most stable polymorph in this dataset: 0.0000 eV/atom

Pr7Hg2Ir2: relaxed, PBE.

Cell lengths 7.041, 7.041, 7.397 Å; angles 90.00, 90.00, 107.10 degrees
Fractional positions:
Pr 0.000 0.000 0.000
Pr 0.000 0.500 0.252
Pr 0.000 0.500 0.748
Pr 0.500 0.000 0.252
Pr 0.500 0.000 0.748
Pr 0.500 0.500 0.245
Pr 0.500 0.500 0.755
Hg 0.178 0.178 0.500
Hg 0.822 0.822 0.500
Ir 0.288 0.712 0.000
Ir 0.712 0.288 0.000

* crystal system: orthorhombic
* magnetization: 0.00 μB/f.u.

Pr4Hg5Ir2: relaxed, PBE.

Cell lengths 7.863, 3.822, 9.751 Å; angles 90.00, 94.63, 90.00 degrees
Fractional positions:
Pr 0.182 0.000 0.349
Pr 0.220 0.000 0.940
Pr 0.780 0.000 0.060
Pr 0.818 0.000 0.651
Hg 0.169 0.500 0.645
Hg 0.455 0.500 0.171
Hg 0.500 0.500 0.500
Hg 0.545 0.500 0.829
Hg 0.831 0.500 0.355
Ir 0.076 0.500 0.140
Ir 0.924 0.500 0.860

* crystal system: monoclinic
* magnetization: 0.00 μB/f.u.

Pr12Hg6Ir: relaxed, PBE.

Cell lengths 8.554, 8.554, 8.554 Å; angles 94.10, 94.10, 94.10 degrees
Fractional positions:
Pr 0.033 0.914 0.682
Pr 0.086 0.318 0.967
Pr 0.199 0.428 0.541
Pr 0.318 0.967 0.086
Pr 0.428 0.541 0.199
Pr 0.459 0.801 0.572
Pr 0.541 0.199 0.428
Pr 0.572 0.459 0.801
Pr 0.682 0.033 0.914
Pr 0.801 0.572 0.459
Pr 0.914 0.682 0.033
Pr 0.967 0.086 0.318
Hg 0.144 0.737 0.348
Hg 0.263 0.652 0.856
Hg 0.348 0.144 0.737
Hg 0.652 0.856 0.263
Hg 0.737 0.348 0.144
Hg 0.856 0.263 0.652
Ir 0.000 0.000 0.000

* crystal system: trigonal
* magnetization: 0.00 μB/f.u.

Pr5Hg2Ir2: relaxed, PBE.

Cell lengths 9.028, 9.028, 8.062 Å; angles 90.00, 90.00, 51.09 degrees
Fractional positions:
Pr 0.000 0.000 0.000
Pr 0.049 0.710 0.672
Pr 0.210 0.549 0.172
Pr 0.290 0.951 0.672
Pr 0.451 0.790 0.172
Pr 0.500 0.500 0.500
Pr 0.549 0.210 0.828
Pr 0.710 0.049 0.328
Pr 0.790 0.451 0.828
Pr 0.951 0.290 0.328
Hg 0.214 0.214 0.000
Hg 0.286 0.286 0.500
Hg 0.714 0.714 0.500
Hg 0.786 0.786 0.000
Ir 0.129 0.871 0.371
Ir 0.371 0.629 0.871
Ir 0.629 0.371 0.129
Ir 0.871 0.129 0.629

* crystal system: orthorhombic
* magnetization: 0.00 μB/f.u.

Pr3HgIr: relaxed, PBE.

Cell lengths 8.379, 4.788, 14.716 Å; angles 90.00, 90.00, 90.00 degrees
Fractional positions:
Pr 0.004 0.250 0.110
Pr 0.142 0.750 0.483
Pr 0.166 0.250 0.714
Pr 0.334 0.750 0.214
Pr 0.358 0.250 0.983
Pr 0.496 0.750 0.610
Pr 0.504 0.250 0.390
Pr 0.642 0.750 0.017
Pr 0.666 0.250 0.786
Pr 0.834 0.750 0.286
Pr 0.858 0.250 0.517
Pr 0.996 0.750 0.890
Hg 0.120 0.250 0.327
Hg 0.380 0.750 0.827
Hg 0.620 0.250 0.173
Hg 0.880 0.750 0.673
Ir 0.194 0.750 0.048
Ir 0.306 0.250 0.548
Ir 0.694 0.750 0.452
Ir 0.806 0.250 0.952

* crystal system: orthorhombic
* magnetization: 0.00 μB/f.u.
* energy above the most stable polymorph in this dataset: 0.0000 eV/atom

PrPuHgIr: relaxed, PBE.

Cell lengths 5.157, 5.157, 5.157 Å; angles 60.00, 60.00, 60.00 degrees
Fractional positions:
Pr 0.000 0.000 0.000
Pu 0.500 0.500 0.500
Hg 0.250 0.250 0.250
Ir 0.750 0.750 0.750

* crystal system: cubic
* magnetization: 5.53 μB/f.u.

Listing DFT total energy for the structures above in their given order: -4.3508; -4.3224; -5.4179; -5.1642; -4.5105; -4.8601; -3.8811; -4.3172; -5.8187; -4.6131; -4.0999; -4.9558; -4.6208; -5.0846; -3.9905; -3.8535; -5.2315; -5.1952; -7.3628 eV/atom.
Listing DOS at the Fermi energy for the structures above in their given order: 19.87; 18.14; 15.59; 2.39; 11.91; 12.46; 9.41; 21.91; 12.36; 20.05; 7.46; 2.91; 10.32; 12.37; 5.90; 25.47; 11.77; 18.81; 10.58 states/eV/cell.